A:
A relaxed Er4Te3Ir crystal, computed with PBE-GGA.

The structure in CIF format:
```
data_Er4Te3Ir
_cell_length_a 6.0026
_cell_length_b 9.9186
_cell_length_c 9.0800
_cell_angle_alpha 90.00
_cell_angle_beta 90.00
_cell_angle_gamma 90.00
_symmetry_space_group_name_H-M 'P 1'
_symmetry_Int_Tables_number 1
loop_
_symmetry_equiv_pos_as_xyz
'x,y,z'
loop_
_atom_site_label
_atom_site_type_symbol
_atom_site_fract_x
_atom_site_fract_y
_atom_site_fract_z
Er1 Er 0.2500 0.0398 0.1920
Er2 Er 0.2500 0.2500 0.6463
Er3 Er 0.2500 0.4602 0.1920
Er4 Er 0.2500 0.7500 0.6430
Er5 Er 0.7500 0.2500 0.3570
Er6 Er 0.7500 0.5398 0.8080
Er7 Er 0.7500 0.7500 0.3537
Er8 Er 0.7500 0.9602 0.8080
Te1 Te 0.2500 0.0017 0.8505
Te2 Te 0.2500 0.4983 0.8505
Te3 Te 0.2500 0.7500 0.3034
Te4 Te 0.7500 0.2500 0.6966
Te5 Te 0.7500 0.5017 0.1495
Te6 Te 0.7500 0.9983 0.1495
Ir1 Ir 0.2500 0.2500 0.3611
Ir2 Ir 0.7500 0.7500 0.6389
```

Symmetry ... Pmmn (59)
Density of states at the Fermi level ... 1.067 states/eV per atom

B:
A relaxed Er4Te3Ir crystal, computed with PBE-GGA.

The structure in CIF format:
```
data_Er4Te3Ir
_cell_length_a 7.5418
_cell_length_b 7.5418
_cell_length_c 4.1788
_cell_angle_alpha 90.00
_cell_angle_beta 90.00
_cell_angle_gamma 108.47
_symmetry_space_group_name_H-M 'P 1'
_symmetry_Int_Tables_number 1
loop_
_symmetry_equiv_pos_as_xyz
'x,y,z'
loop_
_atom_site_label
_atom_site_type_symbol
_atom_site_fract_x
_atom_site_fract_y
_atom_site_fract_z
Er1 Er 0.2077 0.2077 0.5000
Er2 Er 0.2261 0.7739 0.0000
Er3 Er 0.7739 0.2261 0.0000
Er4 Er 0.7923 0.7923 0.5000
Te1 Te 0.0000 0.5000 0.5000
Te2 Te 0.5000 0.0000 0.5000
Te3 Te 0.5000 0.5000 0.0000
Ir1 Ir 0.0000 0.0000 0.0000
```

Symmetry ... Cmmm (65)
Density of states at the Fermi level ... 0.682 states/eV per atom

Stability summary: most stable B, least stable A.

A:
A relaxed ErThIr crystal, computed with PBE-GGA.

The structure in CIF format:
```
data_ErThIr
_cell_length_a 4.8890
_cell_length_b 4.8890
_cell_length_c 4.8890
_cell_angle_alpha 60.00
_cell_angle_beta 60.00
_cell_angle_gamma 60.00
_symmetry_space_group_name_H-M 'P 1'
_symmetry_Int_Tables_number 1
loop_
_symmetry_equiv_pos_as_xyz
'x,y,z'
loop_
_atom_site_label
_atom_site_type_symbol
_atom_site_fract_x
_atom_site_fract_y
_atom_site_fract_z
Er1 Er 0.0000 0.0000 0.0000
Th1 Th 0.5000 0.5000 0.5000
Ir1 Ir 0.2500 0.2500 0.2500
```

Symmetry ... F-43m (216)
Density of states at the Fermi level ... 0.913 states/eV per atom

B:
A relaxed ErThIr crystal, computed with PBE-GGA.

The structure in CIF format:
```
data_ErThIr
_cell_length_a 6.4340
_cell_length_b 6.4340
_cell_length_c 6.4340
_cell_angle_alpha 147.68
_cell_angle_beta 147.68
_cell_angle_gamma 46.36
_symmetry_space_group_name_H-M 'P 1'
_symmetry_Int_Tables_number 1
loop_
_symmetry_equiv_pos_as_xyz
'x,y,z'
loop_
_atom_site_label
_atom_site_type_symbol
_atom_site_fract_x
_atom_site_fract_y
_atom_site_fract_z
Er1 Er 0.0000 0.0000 0.0000
Th1 Th 0.2772 0.2772 0.0000
Ir1 Ir 0.6449 0.6449 0.0000
```

Symmetry ... I4mm (107)
Density of states at the Fermi level ... 1.276 states/eV per atom

C:
A relaxed ErThIr crystal, computed with PBE-GGA.

The structure in CIF format:
```
data_ErThIr
_cell_length_a 5.8695
_cell_length_b 4.2633
_cell_length_c 7.2706
_cell_angle_alpha 90.00
_cell_angle_beta 110.87
_cell_angle_gamma 90.00
_symmetry_space_group_name_H-M 'P 1'
_symmetry_Int_Tables_number 1
loop_
_symmetry_equiv_pos_as_xyz
'x,y,z'
loop_
_atom_site_label
_atom_site_type_symbol
_atom_site_fract_x
_atom_site_fract_y
_atom_site_fract_z
Er1 Er 0.0056 0.0000 0.2515
Er2 Er 0.9944 0.0000 0.7485
Th1 Th 0.4902 0.5000 0.7406
Th2 Th 0.5098 0.5000 0.2594
Ir1 Ir 0.0000 0.5000 0.5000
Ir2 Ir 0.5000 0.0000 0.0000
```

Symmetry ... P2/m (10)
Density of states at the Fermi level ... 0.768 states/eV per atom

Stability summary: most stable C, least stable B.

A:
A relaxed ErThIr2 crystal, computed with PBE-GGA.

The structure in CIF format:
```
data_ErThIr2
_cell_length_a 4.2502
_cell_length_b 5.7296
_cell_length_c 5.7296
_cell_angle_alpha 39.55
_cell_angle_beta 90.00
_cell_angle_gamma 90.00
_symmetry_space_group_name_H-M 'P 1'
_symmetry_Int_Tables_number 1
loop_
_symmetry_equiv_pos_as_xyz
'x,y,z'
loop_
_atom_site_label
_atom_site_type_symbol
_atom_site_fract_x
_atom_site_fract_y
_atom_site_fract_z
Er1 Er 0.0000 0.0000 0.0000
Th1 Th 0.5000 0.7180 0.7180
Ir1 Ir 0.0000 0.2713 0.2713
Ir2 Ir 0.5000 0.4516 0.4516
```

Symmetry ... Amm2 (38)
Density of states at the Fermi level ... 0.538 states/eV per atom

B:
A relaxed ErThIr2 crystal, computed with PBE-GGA.

The structure in CIF format:
```
data_ErThIr2
_cell_length_a 4.9554
_cell_length_b 4.9554
_cell_length_c 4.9554
_cell_angle_alpha 60.00
_cell_angle_beta 60.00
_cell_angle_gamma 60.00
_symmetry_space_group_name_H-M 'P 1'
_symmetry_Int_Tables_number 1
loop_
_symmetry_equiv_pos_as_xyz
'x,y,z'
loop_
_atom_site_label
_atom_site_type_symbol
_atom_site_fract_x
_atom_site_fract_y
_atom_site_fract_z
Er1 Er 0.0000 0.0000 0.0000
Th1 Th 0.5000 0.5000 0.5000
Ir1 Ir 0.2500 0.2500 0.2500
Ir2 Ir 0.7500 0.7500 0.7500
```

Symmetry ... Fm-3m (225)
Density of states at the Fermi level ... 0.524 states/eV per atom

Stability summary: most stable A, least stable B.